Record 1
# Cd3Pb12Au5

Crystalline Cd3Pb12Au5 at its relaxed geometry (PBE, Alexandria via LeMat-Bulk).

Total energy in eV per atom: -3.08
DOS at the Fermi energy in states/eV per cell: 39.236
Energy relative to the elements in meV/atom: 98.6
Magnetization in μB per atom: 0.000

abc: 14.925 14.925 14.925
angles: 109.47 109.47 109.47
Atoms (fractional coordinates):
1 Cd 0.125 0.250 0.375
2 Cd 0.125 0.375 0.750
3 Cd 0.250 0.375 0.125
4 Cd 0.250 0.875 0.625
5 Cd 0.375 0.125 0.250
6 Cd 0.375 0.750 0.125
7 Cd 0.625 0.250 0.875
8 Cd 0.625 0.875 0.750
9 Cd 0.750 0.125 0.375
10 Cd 0.750 0.625 0.875
11 Cd 0.875 0.625 0.250
12 Cd 0.875 0.750 0.625
13 Pb 0.053 0.224 0.124
14 Pb 0.053 0.328 0.928
15 Pb 0.072 0.624 0.400
16 Pb 0.072 0.947 0.672
17 Pb 0.100 0.724 0.672
18 Pb 0.100 0.876 0.428
19 Pb 0.124 0.053 0.224
20 Pb 0.124 0.572 0.900
21 Pb 0.172 0.224 0.600
22 Pb 0.172 0.447 0.572
23 Pb 0.224 0.124 0.053
24 Pb 0.224 0.600 0.172
25 Pb 0.276 0.328 0.900
26 Pb 0.276 0.447 0.376
27 Pb 0.328 0.900 0.276
28 Pb 0.328 0.928 0.053
29 Pb 0.376 0.276 0.447
30 Pb 0.376 0.600 0.928
31 Pb 0.400 0.072 0.624
32 Pb 0.400 0.828 0.776
33 Pb 0.428 0.100 0.876
34 Pb 0.428 0.828 0.553
35 Pb 0.447 0.376 0.276
36 Pb 0.447 0.572 0.172
37 Pb 0.553 0.428 0.828
38 Pb 0.553 0.624 0.724
39 Pb 0.572 0.172 0.447
40 Pb 0.572 0.900 0.124
41 Pb 0.600 0.172 0.224
42 Pb 0.600 0.928 0.376
43 Pb 0.624 0.400 0.072
44 Pb 0.624 0.724 0.553
45 Pb 0.672 0.072 0.947
46 Pb 0.672 0.100 0.724
47 Pb 0.724 0.553 0.624
48 Pb 0.724 0.672 0.100
49 Pb 0.776 0.400 0.828
50 Pb 0.776 0.876 0.947
51 Pb 0.828 0.553 0.428
52 Pb 0.828 0.776 0.400
53 Pb 0.876 0.428 0.100
54 Pb 0.876 0.947 0.776
55 Pb 0.900 0.124 0.572
56 Pb 0.900 0.276 0.328
57 Pb 0.928 0.053 0.328
58 Pb 0.928 0.376 0.600
59 Pb 0.947 0.672 0.072
60 Pb 0.947 0.776 0.876
61 Au 0.000 0.000 0.000
62 Au 0.000 0.000 0.500
63 Au 0.000 0.500 0.000
64 Au 0.000 0.500 0.500
65 Au 0.125 0.750 0.875
66 Au 0.125 0.875 0.250
67 Au 0.250 0.125 0.875
68 Au 0.250 0.625 0.375
69 Au 0.375 0.250 0.625
70 Au 0.375 0.625 0.750
71 Au 0.500 0.000 0.000
72 Au 0.500 0.000 0.500
73 Au 0.500 0.500 0.000
74 Au 0.500 0.500 0.500
75 Au 0.625 0.375 0.250
76 Au 0.625 0.750 0.375
77 Au 0.750 0.375 0.625
78 Au 0.750 0.875 0.125
79 Au 0.875 0.125 0.750
80 Au 0.875 0.250 0.125


Record 2
# Pm12Al3Au5

Crystalline Pm12Al3Au5 at its relaxed geometry (PBE, Alexandria via LeMat-Bulk).

Total energy in eV per atom: -4.37
DOS at the Fermi energy in states/eV per cell: 93.299
Energy relative to the elements in meV/atom: -135.2
Magnetization in μB per atom: 0.000

abc: 15.284 15.284 15.284
angles: 109.47 109.47 109.47
Atoms (fractional coordinates):
1 Pm 0.052 0.221 0.132
2 Pm 0.052 0.331 0.920
3 Pm 0.080 0.632 0.411
4 Pm 0.080 0.948 0.669
5 Pm 0.089 0.721 0.669
6 Pm 0.089 0.868 0.420
7 Pm 0.132 0.052 0.221
8 Pm 0.132 0.580 0.911
9 Pm 0.169 0.221 0.589
10 Pm 0.169 0.448 0.580
11 Pm 0.221 0.132 0.052
12 Pm 0.221 0.589 0.169
13 Pm 0.279 0.331 0.911
14 Pm 0.279 0.448 0.368
15 Pm 0.331 0.911 0.279
16 Pm 0.331 0.920 0.052
17 Pm 0.368 0.279 0.448
18 Pm 0.368 0.589 0.920
19 Pm 0.411 0.080 0.632
20 Pm 0.411 0.831 0.779
21 Pm 0.420 0.089 0.868
22 Pm 0.420 0.831 0.552
23 Pm 0.448 0.368 0.279
24 Pm 0.448 0.580 0.169
25 Pm 0.552 0.420 0.831
26 Pm 0.552 0.632 0.721
27 Pm 0.580 0.169 0.448
28 Pm 0.580 0.911 0.132
29 Pm 0.589 0.169 0.221
30 Pm 0.589 0.920 0.368
31 Pm 0.632 0.411 0.080
32 Pm 0.632 0.721 0.552
33 Pm 0.669 0.080 0.948
34 Pm 0.669 0.089 0.721
35 Pm 0.721 0.552 0.632
36 Pm 0.721 0.669 0.089
37 Pm 0.779 0.411 0.831
38 Pm 0.779 0.868 0.948
39 Pm 0.831 0.552 0.420
40 Pm 0.831 0.779 0.411
41 Pm 0.868 0.420 0.089
42 Pm 0.868 0.948 0.779
43 Pm 0.911 0.132 0.580
44 Pm 0.911 0.279 0.331
45 Pm 0.920 0.052 0.331
46 Pm 0.920 0.368 0.589
47 Pm 0.948 0.669 0.080
48 Pm 0.948 0.779 0.868
49 Al 0.125 0.250 0.375
50 Al 0.125 0.375 0.750
51 Al 0.250 0.375 0.125
52 Al 0.250 0.875 0.625
53 Al 0.375 0.125 0.250
54 Al 0.375 0.750 0.125
55 Al 0.625 0.250 0.875
56 Al 0.625 0.875 0.750
57 Al 0.750 0.125 0.375
58 Al 0.750 0.625 0.875
59 Al 0.875 0.625 0.250
60 Al 0.875 0.750 0.625
61 Au 0.000 0.000 0.000
62 Au 0.000 0.000 0.500
63 Au 0.000 0.500 0.000
64 Au 0.000 0.500 0.500
65 Au 0.125 0.750 0.875
66 Au 0.125 0.875 0.250
67 Au 0.250 0.125 0.875
68 Au 0.250 0.625 0.375
69 Au 0.375 0.250 0.625
70 Au 0.375 0.625 0.750
71 Au 0.500 0.000 0.000
72 Au 0.500 0.000 0.500
73 Au 0.500 0.500 0.000
74 Au 0.500 0.500 0.500
75 Au 0.625 0.375 0.250
76 Au 0.625 0.750 0.375
77 Au 0.750 0.375 0.625
78 Au 0.750 0.875 0.125
79 Au 0.875 0.125 0.750
80 Au 0.875 0.250 0.125


Record 3
# Ho2Tm2Rh3

Crystalline Ho2Tm2Rh3 at its relaxed geometry (PBE, Alexandria via LeMat-Bulk).

Total energy in eV per atom: -6.58
DOS at the Fermi energy in states/eV per cell: 3.359
Energy relative to the elements in meV/atom: -839.9
Magnetization in μB per atom: 0.000

abc: 4.753 4.753 8.352
angles: 106.65 106.65 59.98
Atoms (fractional coordinates):
1 Ho 0.125 0.125 0.374
2 Ho 0.875 0.875 0.626
3 Tm 0.375 0.375 0.126
4 Tm 0.625 0.625 0.874
5 Rh 0.000 0.000 0.000
6 Rh 0.251 0.251 0.754
7 Rh 0.749 0.749 0.246


Record 4
# ScNiPb3

Crystalline ScNiPb3 at its relaxed geometry (PBE, Alexandria via LeMat-Bulk).

Total energy in eV per atom: -4.42
DOS at the Fermi energy in states/eV per cell: 4.828
Energy relative to the elements in meV/atom: 226.7
Excess energy over the best structure of this formula in the dataset in eV per atom: 0.000
Magnetization in μB per atom: 0.000

abc: 5.139 5.139 5.139
angles: 90.00 90.00 90.00
Atoms (fractional coordinates):
1 Sc 0.000 0.000 0.000
2 Ni 0.500 0.500 0.500
3 Pb 0.000 0.500 0.500
4 Pb 0.500 0.000 0.500
5 Pb 0.500 0.500 0.000


Record 5
# Ba2BiSbPd6

Crystalline Ba2BiSbPd6 at its relaxed geometry (PBE, Alexandria via LeMat-Bulk).

Total energy in eV per atom: -4.85
Uncorrected formation energy in meV per atom: -553
DOS at the Fermi energy in states/eV per cell: 4.315
Magnetization in μB per atom: 0.000

abc: 7.101 7.101 8.934
angles: 127.10 127.10 48.52
Atoms (fractional coordinates):
1 Ba 0.248 0.248 0.283
2 Ba 0.752 0.752 0.717
3 Bi 0.000 0.000 0.500
4 Sb 0.500 0.500 0.000
5 Pd 0.227 0.724 0.221
6 Pd 0.252 0.252 0.895
7 Pd 0.276 0.773 0.779
8 Pd 0.724 0.227 0.221
9 Pd 0.748 0.748 0.105
10 Pd 0.773 0.276 0.779


Record 6
# GdHo3S

Crystalline GdHo3S at its relaxed geometry (PBE, Alexandria via LeMat-Bulk).

Total energy in eV per atom: -7.03
Uncorrected formation energy in meV per atom: -644
DOS at the Fermi energy in states/eV per cell: 7.689
Magnetization in μB per atom: 1.656

abc: 5.286 5.286 5.286
angles: 90.00 90.00 90.00
Atoms (fractional coordinates):
1 Gd 0.000 0.000 0.000
2 Ho 0.000 0.500 0.500
3 Ho 0.500 0.000 0.500
4 Ho 0.500 0.500 0.000
5 S 0.500 0.500 0.500